Ti3MnF: optimized geometry, PBE with a Hubbard U.

Geometry as CIF:
```
data_Ti3MnF
_space_group_name_H-M_alt 'P 1'
_space_group_IT_number 1
_cell_length_a 4.521
_cell_length_b 4.521
_cell_length_c 4.521
_cell_angle_alpha 90.00
_cell_angle_beta 90.00
_cell_angle_gamma 90.00
loop_
_space_group_symop_operation_xyz
'x,y,z'
loop_
_atom_site_label
_atom_site_type_symbol
_atom_site_fract_x
_atom_site_fract_y
_atom_site_fract_z
_atom_site_occupancy
Ti1 Ti 0.000 0.000 0.500 1
Ti2 Ti 0.000 0.500 0.000 1
Ti3 Ti 0.500 0.000 0.000 1
Mn1 Mn 0.000 0.000 0.000 1
F1 F 0.500 0.500 0.500 1
```

Properties
Density (g/cm³): 3.9
E (eV per cell): -28.80
Size of the total moment (μB/cell): 0.0
SG: Pm-3m, No. 221